A plane-wave DFT calculation with SCAN was carried out for Fe3Tc at its PBEsol-relaxed geometry.

Properties
- DOS at the Fermi energy: 2.16 states/eV/cell
- Energy relative to the elements: -0.016 eV per atom

Lattice parameters (Å, degrees): 2.814 2.814 5.880 90.00 90.00 90.00
Fractional coordinates of all 4 atoms:
Tc: 0.500 0.500 0.500
Fe: 0.000 0.000 0.765
Fe: 0.000 0.000 0.235
Fe: 0.500 0.500 0.000